(1)
## CaBeNi2S (PBEsol)

Data for a geometry-optimized CaBeNi2S structure.

a = 4.003 Å, b = 4.003 Å, c = 4.532 Å
α = 90.00°, β = 90.00°, γ = 90.00°
Space group P4/mmm (No. 123)
Symmetry-distinct sites (fractional):
Ca1 0.000 0.000 0.000 x1
Be1 0.500 0.500 0.500 x1
Ni1 0.000 0.500 0.500 x2
S1 0.500 0.500 0.000 x1

- E: -4.66 eV per atom


(2)
## HfN (PBEsol)

Data for a geometry-optimized HfN structure.

a = 3.1182 Å, b = 3.1182 Å, c = 5.3806 Å
α = 90.00°, β = 90.00°, γ = 120.00°
Space group P6_3/mmc (No. 194)
Symmetry-distinct sites (fractional):
Hf1 0.3333 0.6667 0.2500 x2
N1 0.0000 0.0000 0.0000 x2

- E: -11.47 eV per atom


(3)
## Sr2AgPb (PBEsol)

Data for a geometry-optimized Sr2AgPb structure.

a = 3.830 Å, b = 3.830 Å, c = 8.325 Å
α = 90.00°, β = 90.00°, γ = 90.00°
Space group P4/mmm (No. 123)
Symmetry-distinct sites (fractional):
Sr1 0.000 0.000 0.235 x2
Ag1 0.500 0.500 0.000 x1
Pb1 0.500 0.500 0.500 x1

- Formation energy from the elements: -0.410 eV/atom


(4)
## TlCu2Au2 (PBEsol)

Data for a geometry-optimized TlCu2Au2 structure.

a = 3.839 Å, b = 3.839 Å, c = 11.936 Å
α = 90.00°, β = 90.00°, γ = 90.00°
Space group I4/mmm (No. 139)
Symmetry-distinct sites (fractional):
Tl1 0.000 0.000 0.000 x2
Cu1 0.000 0.000 0.401 x4
Au1 0.000 0.500 0.250 x4

- Formation energy from the elements: 0.153 eV/atom


(5)
## LaGeSeBr2 (PBEsol)

Data for a geometry-optimized LaGeSeBr2 structure.

a = 5.673 Å, b = 5.673 Å, c = 5.768 Å
α = 90.00°, β = 90.00°, γ = 90.00°
Space group P4/mmm (No. 123)
Symmetry-distinct sites (fractional):
La1 0.000 0.000 0.000 x1
Ge1 0.500 0.500 0.500 x1
Se1 0.000 0.000 0.500 x1
Br1 0.000 0.500 0.000 x2

- E: -4.18 eV per atom


(6)
## Co2ReMo (PBEsol)

Data for a geometry-optimized Co2ReMo structure.

a = 2.594 Å, b = 3.668 Å, c = 5.195 Å
α = 90.00°, β = 90.00°, γ = 90.00°
Space group Pmmm (No. 47)
Symmetry-distinct sites (fractional):
Co1 0.000 0.000 0.244 x2
Re1 0.500 0.500 0.000 x1
Mo1 0.500 0.500 0.500 x1

- Offset from the most stable computed form: 74 meV per atom
- Formation energy from the elements: -0.001 eV/atom


(7)
## LiHgPt2 (PBEsol)

Data for a geometry-optimized LiHgPt2 structure.

a = 9.240 Å, b = 2.815 Å, c = 4.897 Å
α = 90.00°, β = 98.19°, γ = 90.00°
Space group Cm (No. 8)
Symmetry-distinct sites (fractional):
Li1 0.000 0.000 0.000 x2
Hg1 0.239 0.000 0.743 x2
Pt1 0.251 0.500 0.239 x2
Pt2 0.491 0.000 0.470 x2

- Formation energy from the elements: -0.238 eV/atom


(8)
## ZrTeIrPd2 (PBEsol)

Data for a geometry-optimized ZrTeIrPd2 structure.

a = 4.834 Å, b = 4.834 Å, c = 4.790 Å
α = 90.00°, β = 90.00°, γ = 90.00°
Space group P4/mmm (No. 123)
Symmetry-distinct sites (fractional):
Zr1 0.000 0.000 0.000 x1
Te1 0.500 0.500 0.500 x1
Ir1 0.000 0.000 0.500 x1
Pd1 0.000 0.500 0.000 x2

- E: -6.02 eV per atom